ZnPt3, optimized geometry, DFT PBE-GGA; M_tot = 0.000 μB per formula unit; space group = Cmmm, No. 65; formation energy = -346 meV/atom; Fermi-level density of states = 2.61 states/eV/f.u.
1.0
2.822 -3.844 0.000
2.822 3.844 0.000
0.000 0.000 2.802
Zn Pt
1 3
Cartesian
0.000 0.000 0.000
1.411 1.922 1.401
1.411 -1.922 1.401
2.822 0.000 0.000